Entry 1:
The following is a meta-GGA SCAN calculation of a PBEsol-optimized structure of KBaTl4, from the Alexandria database.

* density of states at the Fermi level: 0.720 states/eV per atom
* E_tot: -1356.78 eV for the cell shown

abc: 9.1438 9.1438 9.1438
angles: 90.00 90.00 90.00
Closest atoms and distances in Å follow each position.
Space group F-43m (No. 216)
One atom of each set of equivalent atoms:
1 K 0.0000 0.0000 0.0000  12 Tl 3.79, 4 Ba 3.96
2 Ba 0.2500 0.2500 0.7500  12 Tl 3.79, 4 K 3.96
3 Tl 0.1251 0.1251 0.3749  6 Tl 3.23-3.24


Entry 2:
The following is a meta-GGA SCAN calculation of a PBEsol-optimized structure of KBa2Tl, from the Alexandria database.

* density of states at the Fermi level: 0.919 states/eV per atom
* E_tot: -320.65 eV for the cell shown

abc: 4.6931 4.7205 19.1126
angles: 90.00 90.00 90.00
Closest atoms and distances in Å follow each position.
Space group Amm2 (No. 38)
One atom of each set of equivalent atoms:
1 K 0.0000 0.0000 0.0000  2 Tl 3.60
2 Ba 0.0000 0.0000 0.6974  4 Tl 3.49
3 Ba 0.5000 0.0000 0.3366  1 Tl 3.70
4 Tl 0.5000 0.0000 0.1431  5 Ba 3.49-3.70, 2 K 3.60


Entry 3:
The following is a meta-GGA SCAN calculation of a PBEsol-optimized structure of KBa2Tl, from the Alexandria database.

* density of states at the Fermi level: 0.620 states/eV per atom
* E_tot: -161.09 eV for the cell shown

abc: 4.2497 4.2497 11.0647
angles: 90.00 90.00 90.00
Closest atoms and distances in Å follow each position.
Space group P4/mmm (No. 123)
One atom of each set of equivalent atoms:
1 K 0.0000 0.0000 0.0000  4 K 4.25, 8 Ba 4.69
2 Ba 0.5000 0.5000 0.3249  4 Tl 3.58, 1 Ba 3.88
3 Tl 0.0000 0.0000 0.5000  8 Ba 3.58


Number 1: E_form -314 meV per atom. Number 2: E_form -135 meV per atom. Number 3: E_form -325 meV per atom.